*one*
First-principles (PBE) data for Ta2ReHRh after structural relaxation, as listed in Alexandria.

Unit cell a=4.3488 b=4.3488 c=3.5723 alpha=90.00 beta=90.00 gamma=90.00
Fractional coordinates of all 5 atoms:
H1 0.0000 0.0000 0.0000
Rh1 0.0000 0.0000 0.5000
Ta1 0.0000 0.5000 0.0000
Ta2 0.5000 0.0000 0.0000
Re1 0.5000 0.5000 0.5000


*two*
First-principles (PBE) data for Ta2ReHRh after structural relaxation, as listed in Alexandria.

Unit cell a=4.2670 b=4.2670 c=3.7174 alpha=90.00 beta=90.00 gamma=90.00
Fractional coordinates of all 5 atoms:
Re1 0.0000 0.0000 0.5000
Ta1 0.0000 0.5000 0.0000
Ta2 0.5000 0.0000 0.0000
Rh1 0.5000 0.5000 0.5000
H1 0.0000 0.0000 0.0000


Stability ranking, top and bottom: *one* is the most stable and *two* is the least stable.